DFT (GGA-PBE) results for a geometry-optimized PmDy2Hg6 structure.

a b c (Å): 4.5340 4.5340 25.7413
angles (deg): 90.00 90.00 90.00
With the nearest neighbours (Å) after each atom.
Space group I4/mmm (No. 139)
Unique sites:
Pm: 0.0000 0.0000 0.0000 [2 per cell]  8 Hg 3.18
Dy: 0.0000 0.0000 0.3319 [4 per cell]  8 Hg 3.09-3.10
Hg: 0.0000 0.5000 0.0864 [8 per cell]  2 Dy 3.09, 2 Pm 3.18, 4 Hg 3.21
Hg: 0.0000 0.5000 0.2500 [4 per cell]  4 Dy 3.10, 4 Hg 3.21

Summary:
Energy above the most stable polymorph in this dataset in eV per atom: 0.2327
Total energy in eV per atom: -1.922
Calculated formation energy in eV/atom: -0.17

DFT (GGA-PBE) results for a geometry-optimized KRuRhO6 structure.

a b c (Å): 5.3128 5.3128 5.8042
angles (deg): 90.00 90.00 120.00
With the nearest neighbours (Å) after each atom.
Space group P312 (No. 149)
Unique sites:
K: 0.0000 0.0000 0.0000 [1 per cell]  6 O 2.78
Ru: 0.3333 0.6667 0.5000 [1 per cell]  6 O 1.92
Rh: 0.6667 0.3333 0.5000 [1 per cell]  6 O 1.97
O: 0.0079 0.3945 0.6801 [6 per cell]  1 Ru 1.92, 1 Rh 1.97

Summary:
Formation energy without anion corrections in meV/atom: -920
Total energy in eV per atom: -6.195

DFT (GGA-PBE) results for a geometry-optimized MoPAu3 structure.

a b c (Å): 4.7084 4.7084 4.7084
angles (deg): 90.00 90.00 90.00
With the nearest neighbours (Å) after each atom.
Space group Pm-3m (No. 221)
Unique sites:
Mo: 0.0000 0.0000 0.0000 [1 per cell]  12 Au 3.33
P: 0.5000 0.5000 0.5000 [1 per cell]  6 Au 2.35
Au: 0.0000 0.5000 0.5000 [3 per cell]  2 P 2.35

Summary:
Total energy in eV per atom: -4.413
Calculated formation energy in eV/atom: 0.80

DFT (GGA-PBE) results for a geometry-optimized Os2Ru structure.

a b c (Å): 5.8697 5.8697 5.8697
angles (deg): 90.00 90.00 90.00
With the nearest neighbours (Å) after each atom.
Space group Fm-3m (No. 225)
Unique sites:
Os: 0.2500 0.2500 0.2500 [8 per cell]  4 Ru 2.54
Ru: 0.0000 0.0000 0.0000 [4 per cell]  8 Os 2.54

Summary:
Energy above the most stable polymorph in this dataset in eV per atom: 0.9946
Total energy in eV per atom: -9.602
Calculated formation energy in eV/atom: 0.98

DFT (GGA-PBE) results for a geometry-optimized PmTiAl2 structure.

a b c (Å): 3.4786 3.4786 6.7923
angles (deg): 90.00 90.00 90.00
With the nearest neighbours (Å) after each atom.
Space group P4/mmm (No. 123)
Unique sites:
Pm: 0.0000 0.0000 0.0000 [1 per cell]  8 Al 3.20, 2 Ti 3.40, 4 Pm 3.48
Ti: 0.0000 0.0000 0.5000 [1 per cell]  8 Al 2.80
Al: 0.5000 0.5000 0.3021 [2 per cell]  1 Al 2.69, 4 Ti 2.80

Summary:
Energy above the most stable polymorph in this dataset in eV per atom: 0.0000
Total energy in eV per atom: -5.318
Calculated formation energy in eV/atom: -0.28

DFT (GGA-PBE) results for a geometry-optimized CaLaSnP2 structure.

a b c (Å): 5.4059 5.4059 6.2352
angles (deg): 90.00 90.00 90.00
With the nearest neighbours (Å) after each atom.
Space group P4/mmm (No. 123)
Unique sites:
Ca: 0.0000 0.0000 0.0000 [1 per cell]  2 La 3.12
La: 0.0000 0.0000 0.5000 [1 per cell]  4 P 2.70
Sn: 0.5000 0.5000 0.0000 [1 per cell]  4 Ca 3.82, 8 P 4.13
P: 0.0000 0.5000 0.5000 [2 per cell]  2 La 2.70

Summary:
Total energy in eV per atom: -3.767
Calculated formation energy in eV/atom: 0.58